No. 1
DFT (PBE) results for a geometry-optimized Sm2Te2I structure.

Cell: 4.433 4.433 9.769 Å, 103.11 103.11 90.00°
Sites, in units of the cell vectors:
Te 0.662 0.661 0.323
Te 0.338 0.339 0.677
Sm 0.167 0.167 0.333
Sm 0.833 0.833 0.667
I 0.000 0.000 0.000

Values from the calculation:
energy above the most stable polymorph in this dataset: 0.000 eV per atom
formation energy (no corrections): -1.397 eV per atom

---

No. 2
DFT (PBE) results for a geometry-optimized TaNb5Os4 structure.

Cell: 4.528 5.581 7.169 Å, 105.19 108.41 90.00°
Sites, in units of the cell vectors:
Nb 0.700 0.800 0.400
Nb 0.500 0.500 0.000
Nb 0.100 0.402 0.200
Nb 0.900 0.598 0.800
Nb 0.300 0.200 0.600
Os 0.100 0.907 0.200
Os 0.900 0.093 0.800
Os 0.700 0.298 0.401
Os 0.300 0.702 0.599
Ta 0.500 0.000 0.000

---

Number 1: E -4.85 eV/atom, volume 36.4 Å³/atom. Number 2: E -10.94 eV/atom, volume 16.5 Å³/atom.